(1)
La2Sm3Mg2: optimized geometry, PBE.

Calculated values
Density of states at the Fermi level ... 8.7 states/eV/cell
Total energy ... -3.87 eV per atom
Magnetization ... 0.00 μB/atom
Symmetry ... Cmmm

Cell lengths 3.8253, 3.7537, 15.7783 Å; angles 90.00, 96.96, 90.00 degrees
Closest atoms and distances in Å follow each position.
Sites, in units of the cell vectors:
1 Sm 0.4219 0.5000 0.8438  4 Mg 3.29, 4 Sm 3.63
2 Sm 0.0000 0.0000 0.0000  12 Sm 3.63-3.83
3 Sm 0.5781 0.5000 0.1562  4 Mg 3.29, 4 Sm 3.63
4 La 0.7061 0.5000 0.4121  2 La 3.35, 4 Mg 3.41
5 La 0.2939 0.5000 0.5879  2 La 3.35, 4 Mg 3.41
6 Mg 0.8611 0.0000 0.7222  4 Sm 3.29, 4 La 3.41
7 Mg 0.1389 0.0000 0.2778  4 Sm 3.29, 4 La 3.41

***

(2)
LaSmMg: optimized geometry, PBE.

Calculated values
Density of states at the Fermi level ... 7.7 states/eV/cell
Total energy ... -3.77 eV per atom
Magnetization ... 0.00 μB/atom
Symmetry ... P-1

Cell lengths 6.5107, 3.7844, 9.3775 Å; angles 66.24, 79.22, 106.91 degrees
Closest atoms and distances in Å follow each position.
Sites, in units of the cell vectors:
1 Sm 0.2567 0.3755 0.9455  4 Mg 3.37-3.39, 4 La 3.63-3.65, 1 Sm 3.64
2 Sm 0.1970 0.9087 0.3829  4 Mg 3.37-3.39, 4 La 3.63-3.65, 1 Sm 3.64
3 Mg 0.8640 0.3944 0.2301  2 Mg 3.02, 2 Sm 3.37
4 Mg 0.5900 0.8893 0.0984  2 Mg 3.02, 2 Sm 3.37
5 La 0.5457 0.3976 0.5672  2 Mg 3.45, 5 Sm 3.63-3.81, 5 La 3.73-3.78
6 La 0.9081 0.8866 0.7610  2 Mg 3.45, 5 Sm 3.63-3.81, 5 La 3.73-3.78

***

(3)
La8Sm3Mg2: optimized geometry, PBE.

Calculated values
Density of states at the Fermi level ... 18.0 states/eV/cell
Total energy ... -4.36 eV per atom
Magnetization ... 0.00 μB/atom
Symmetry ... P-1

Cell lengths 8.7963, 8.9747, 9.9407 Å; angles 59.70, 42.46, 74.57 degrees
Closest atoms and distances in Å follow each position.
Sites, in units of the cell vectors:
1 Mg 0.5347 0.5654 0.3052  1 Mg 3.01, 3 La 3.27-3.33
2 Mg 0.4653 0.4346 0.6948  1 Mg 3.01, 3 La 3.27-3.33
3 La 0.5951 0.7078 0.8851  5 La 3.32-3.71, 1 Mg 3.33, 2 Sm 3.45-3.64
4 La 0.1817 0.8209 0.5298  1 Mg 3.32, 3 La 3.52-3.69, 2 Sm 3.62-3.71
5 La 0.6820 0.8496 0.4082  1 Mg 3.27, 1 Sm 3.46, 2 La 3.55-3.65
6 La 0.0774 0.6531 0.0312  2 Mg 3.39-3.59, 1 Sm 3.66, 4 La 3.66-3.79
7 La 0.9226 0.3469 0.9688  2 Mg 3.39-3.59, 1 Sm 3.66, 4 La 3.66-3.79
8 La 0.3180 0.1504 0.5918  1 Mg 3.27, 1 Sm 3.46, 2 La 3.55-3.65
9 La 0.8183 0.1791 0.4702  1 Mg 3.32, 3 La 3.52-3.69, 2 Sm 3.62-3.71
10 La 0.4049 0.2922 0.1149  5 La 3.32-3.71, 1 Mg 3.33, 2 Sm 3.45-3.64
11 Sm 0.0000 0.5000 0.5000  2 Mg 3.62, 10 La 3.66-3.87, 2 Sm 3.89
12 Sm 0.2442 0.9981 0.0707  1 Mg 3.41, 7 La 3.45-3.78, 1 Sm 3.60
13 Sm 0.7558 0.0019 0.9293  1 Mg 3.41, 7 La 3.45-3.78, 1 Sm 3.60

***

(4)
LaSm3Mg4: optimized geometry, PBE.

Calculated values
Density of states at the Fermi level ... 17.4 states/eV/cell
Total energy ... -3.29 eV per atom
Magnetization ... 0.00 μB/atom
Symmetry ... P4/mmm

Cell lengths 5.4748, 7.7730, 10.9495 Å; angles 90.00, 90.00, 90.00 degrees
Closest atoms and distances in Å follow each position.
Sites, in units of the cell vectors:
1 Sm 0.5008 0.5000 0.2500  8 Mg 3.38
2 Sm 0.0000 0.0000 0.0000  8 Mg 3.33
3 Sm 0.4992 0.5000 0.7500  8 Mg 3.38
4 Sm 0.5008 0.0000 0.2500  8 Mg 3.33
5 Sm 0.0000 0.0000 0.5000  8 Mg 3.33
6 Sm 0.4992 0.0000 0.7500  8 Mg 3.33
7 Mg 0.5000 0.7552 0.0000  6 Sm 3.33-3.38, 2 La 3.38
8 Mg 0.9993 0.2448 0.7500  6 Sm 3.33-3.38, 2 La 3.38
9 Mg 0.5000 0.2448 0.5000  6 Sm 3.33-3.38, 2 La 3.38
10 Mg 0.9993 0.7552 0.7500  6 Sm 3.33-3.38, 2 La 3.38
11 Mg 0.5000 0.7552 0.5000  6 Sm 3.33-3.38, 2 La 3.38
12 Mg 0.0007 0.2448 0.2500  6 Sm 3.33-3.38, 2 La 3.38
13 Mg 0.0007 0.7552 0.2500  6 Sm 3.33-3.38, 2 La 3.38
14 Mg 0.5000 0.2448 0.0000  6 Sm 3.33-3.38, 2 La 3.38
15 La 0.0000 0.5000 0.5000  8 Mg 3.38
16 La 0.0000 0.5000 0.0000  8 Mg 3.38

***

(5)
La12Sm3Mg: optimized geometry, PBE.

Calculated values
Density of states at the Fermi level ... 23.3 states/eV/cell
Total energy ... -4.68 eV per atom
Magnetization ... 0.00 μB/atom
Symmetry ... P4/mmm

Cell lengths 5.2073, 5.2073, 20.9034 Å; angles 90.00, 90.00, 90.00 degrees
Closest atoms and distances in Å follow each position.
Sites, in units of the cell vectors:
1 La 0.0000 0.5000 0.3735  8 La 3.68-3.71, 4 Sm 3.71
2 La 0.5000 0.0000 0.3735  8 La 3.68-3.71, 4 Sm 3.71
3 La 0.5000 0.5000 0.2480  4 Sm 3.68, 8 La 3.69-3.70
4 La 0.5000 0.5000 0.5000  4 Sm 3.68, 8 La 3.71
5 La 0.5000 0.0000 0.1227  8 La 3.66-3.69, 2 Mg 3.66, 2 Sm 3.68
6 La 0.5000 0.0000 0.8773  8 La 3.66-3.69, 2 Mg 3.66, 2 Sm 3.68
7 La 0.5000 0.5000 0.0000  8 La 3.66, 4 Mg 3.68
8 La 0.0000 0.5000 0.6265  8 La 3.68-3.71, 4 Sm 3.71
9 La 0.5000 0.5000 0.7520  4 Sm 3.68, 8 La 3.69-3.70
10 La 0.5000 0.0000 0.6265  8 La 3.68-3.71, 4 Sm 3.71
11 La 0.0000 0.5000 0.1227  8 La 3.66-3.69, 2 Mg 3.66, 2 Sm 3.68
12 La 0.0000 0.5000 0.8773  8 La 3.66-3.69, 2 Mg 3.66, 2 Sm 3.68
13 Sm 0.0000 0.0000 0.2470  12 La 3.68-3.71
14 Sm 0.0000 0.0000 0.7530  12 La 3.68-3.71
15 Sm 0.0000 0.0000 0.5000  12 La 3.68-3.71
16 Mg 0.0000 0.0000 0.0000  12 La 3.66-3.68

***

(6)
La12Sm7Mg: optimized geometry, PBE.

Calculated values
Density of states at the Fermi level ... 25.3 states/eV/cell
Total energy ... -4.54 eV per atom
Magnetization ... 0.00 μB/atom
Symmetry ... R-3m

Cell lengths 6.3551, 11.6121, 11.6121 Å; angles 116.75, 100.51, 100.51 degrees
Closest atoms and distances in Å follow each position.
Sites, in units of the cell vectors:
1 La 0.4284 0.3535 0.0000  1 La 3.36, 4 Sm 3.39-3.66
2 La 0.0913 0.5918 0.1838  3 La 3.32-3.64, 2 Sm 3.43
3 La 0.9251 0.3535 0.3535  1 La 3.36, 4 Sm 3.39-3.66
4 La 0.0749 0.6465 0.6465  1 La 3.36, 4 Sm 3.39-3.66
5 La 0.9074 0.8162 0.4080  3 La 3.32-3.64, 2 Sm 3.43
6 La 0.5716 0.0000 0.6465  1 La 3.36, 4 Sm 3.39-3.66
7 La 0.9087 0.4082 0.8162  3 La 3.32-3.64, 2 Sm 3.43
8 La 0.5716 0.6465 0.0000  1 La 3.36, 4 Sm 3.39-3.66
9 La 0.0926 0.1838 0.5920  3 La 3.32-3.64, 2 Sm 3.43
10 La 0.4284 0.0000 0.3535  1 La 3.36, 4 Sm 3.39-3.66
11 La 0.4995 0.5920 0.4082  3 La 3.32-3.64, 2 Sm 3.43
12 La 0.5005 0.4080 0.5918  3 La 3.32-3.64, 2 Sm 3.43
13 Sm 0.1105 0.7544 0.0001  1 Mg 3.06, 2 La 3.39-3.42, 1 Sm 3.42
14 Sm 0.8895 0.2456 0.9999  1 Mg 3.06, 2 La 3.39-3.42, 1 Sm 3.42
15 Sm 0.6439 0.7543 0.7544  1 Mg 3.06, 2 La 3.39-3.42, 1 Sm 3.42
16 Sm 0.5000 0.0000 0.0000  2 Mg 3.18, 6 Sm 3.42
17 Sm 0.8896 0.0001 0.2457  1 Mg 3.06, 2 La 3.39-3.42, 1 Sm 3.42
18 Sm 0.3561 0.2457 0.2456  1 Mg 3.06, 2 La 3.39-3.42, 1 Sm 3.42
19 Sm 0.1104 0.9999 0.7543  1 Mg 3.06, 2 La 3.39-3.42, 1 Sm 3.42
20 Mg 0.0000 0.0000 0.0000  8 Sm 3.06-3.18

***

Quick rundown of DFT formation energy, same order as above: 0.016; -0.024; 0.010; -0.105; 0.001; 0.144 eV per atom